Entry 1:
Co3C | GGA-PBE | optimized geometry

Total moment in Bohr magnetons per cell: 5.303
Density in kg/m³: 7594
SG: P6_3/mmc (194)
Crystal system: hexagonal
DOS(E_F) in states/eV/cell: 8.79
Calculated volume in A^3/atom: 10.322
Raw total energy in eV per atom: -7.154

a b c (Å): 6.179 6.179 2.498
angles (deg): 90.00 90.00 120.00
Positions (direct):
Co1 0.195 0.390 0.250
Co2 0.195 0.805 0.250
Co3 0.390 0.195 0.750
Co4 0.610 0.805 0.250
Co5 0.805 0.195 0.750
Co6 0.805 0.610 0.750
C1 0.333 0.667 0.750
C2 0.667 0.333 0.250

=====

Entry 2:
Co3C | GGA-PBE | optimized geometry

Total moment in Bohr magnetons per cell: 2.911
Density in kg/m³: 8586
SG: P4/mmm (123)
Crystal system: tetragonal
DOS(E_F) in states/eV/cell: 2.60
Calculated volume in A^3/atom: 9.130
Raw total energy in eV per atom: -7.186

a b c (Å): 2.458 2.458 6.042
angles (deg): 90.00 90.00 90.00
Positions (direct):
Co1 0.000 0.000 0.000
Co2 0.500 0.500 0.309
Co3 0.500 0.500 0.691
C1 0.000 0.000 0.500

=====

Entry 3:
CoC | GGA-PBE | optimized geometry

Total moment in Bohr magnetons per cell: 0.000
Density in kg/m³: 6435
SG: Pm-3m (221)
Crystal system: cubic
DOS(E_F) in states/eV/cell: 2.85
Calculated volume in A^3/atom: 9.153
Raw total energy in eV per atom: -7.258

a b c (Å): 3.801 3.801 3.801
angles (deg): 90.00 90.00 90.00
Positions (direct):
Co1 0.000 0.000 0.500
Co2 0.000 0.500 0.000
Co3 0.500 0.000 0.000
C1 0.000 0.500 0.500
C2 0.500 0.000 0.500
C3 0.500 0.500 0.000